1.
Sc4PbO after structural relaxation. Source: Alexandria via LeMat-Bulk, functional PBE.

a = 5.170 Å, b = 6.714 Å, c = 7.790 Å
α = 104.87°, β = 109.38°, γ = 89.99°
Element x y z (fractional)
Sc1 0.404 0.073 0.769
Sc2 0.635 0.427 0.231
Sc3 0.596 0.927 0.231
Sc4 0.365 0.573 0.769
Sc5 0.810 0.790 0.601
Sc6 0.208 0.711 0.399
Sc7 0.190 0.210 0.399
Sc8 0.792 0.289 0.601
Pb1 0.973 0.750 0.000
Pb2 0.027 0.250 0.000
O1 0.500 0.000 0.500
O2 0.000 0.500 0.500

* symmetry: No. 15
* raw formation energy: -109.0 kJ per mole of atoms


2.
Li2ZrHgP after structural relaxation. Source: Alexandria via LeMat-Bulk, functional PBE.

a = 4.517 Å, b = 5.057 Å, c = 4.517 Å
α = 90.00°, β = 90.00°, γ = 90.00°
Element x y z (fractional)
P1 0.000 0.000 0.000
Hg1 0.500 0.500 0.500
Zr1 0.000 0.500 0.000
Li1 0.000 0.000 0.500
Li2 0.500 0.000 0.000

* symmetry: No. 123
* total DFT energy (no corrections): -3.99 eV per atom


3.
Ho2Cu2Au after structural relaxation. Source: Alexandria via LeMat-Bulk, functional PBE.

a = 7.307 Å, b = 7.307 Å, c = 7.454 Å
α = 90.00°, β = 90.00°, γ = 90.00°
Element x y z (fractional)
Ho1 0.680 0.820 0.500
Ho2 0.320 0.180 0.500
Ho3 0.820 0.320 0.000
Ho4 0.180 0.680 0.000
Ho5 0.820 0.320 0.500
Ho6 0.180 0.680 0.500
Ho7 0.320 0.180 0.000
Ho8 0.680 0.820 0.000
Cu1 0.381 0.881 0.250
Cu2 0.619 0.119 0.250
Cu3 0.119 0.381 0.750
Cu4 0.881 0.619 0.750
Cu5 0.881 0.619 0.250
Cu6 0.119 0.381 0.250
Cu7 0.381 0.881 0.750
Cu8 0.619 0.119 0.750
Au1 0.500 0.500 0.250
Au2 0.000 0.000 0.750
Au3 0.500 0.500 0.750
Au4 0.000 0.000 0.250

* symmetry: No. 128
* total DFT energy (no corrections): -4.58 eV per atom


4.
LaMg2Fe after structural relaxation. Source: Alexandria via LeMat-Bulk, functional PBE.

a = 3.439 Å, b = 3.234 Å, c = 8.067 Å
α = 75.39°, β = 90.00°, γ = 90.00°
Element x y z (fractional)
Fe1 0.000 0.620 0.478
La1 0.500 0.697 0.684
Mg1 0.000 0.928 0.038
Mg2 0.500 0.255 0.299

* symmetry: No. 6
* total DFT energy (no corrections): -3.93 eV per atom


5.
TbNdInRu after structural relaxation. Source: Alexandria via LeMat-Bulk, functional PBE.

a = 5.159 Å, b = 5.159 Å, c = 5.159 Å
α = 60.00°, β = 60.00°, γ = 60.00°
Element x y z (fractional)
Ru1 0.750 0.750 0.750
Nd1 0.000 0.000 0.000
Tb1 0.500 0.500 0.500
In1 0.250 0.250 0.250

* symmetry: No. 216
* total DFT energy (no corrections): -5.61 eV per atom


6.
RbCaRuCl6 after structural relaxation. Source: Alexandria via LeMat-Bulk, functional PBE.

a = 6.735 Å, b = 6.734 Å, c = 7.309 Å
α = 90.00°, β = 90.00°, γ = 60.00°
Site moments in Bohr magnetons follow the coordinates.
Element x y z (fractional)
Rb1 0.000 0.000 0.000  0.00
Ca1 0.667 0.667 0.500  0.00
Ru1 0.333 0.333 0.500  0.79
Cl1 0.040 0.345 0.307  0.02
Cl2 0.345 0.040 0.693  0.02
Cl3 0.615 0.345 0.693  0.02
Cl4 0.040 0.615 0.693  0.02
Cl5 0.345 0.615 0.307  0.02
Cl6 0.615 0.040 0.307  0.02

* symmetry: No. 149
* raw formation energy: -139.8 kJ per mole of atoms


7.
PuHf12Zr5 after structural relaxation. Source: Alexandria via LeMat-Bulk, functional PBE.

a = 5.175 Å, b = 7.886 Å, c = 10.668 Å
α = 89.72°, β = 89.15°, γ = 70.85°
Site moments in Bohr magnetons follow the coordinates.
Element x y z (fractional)
Pu1 0.000 0.000 0.000  4.99
Hf1 0.098 0.000 0.302  -0.06
Hf2 0.902 0.000 0.698  -0.06
Hf3 0.397 0.000 0.798  -0.06
Hf4 0.603 0.000 0.202  -0.06
Hf5 0.192 0.642 0.846  -0.02
Hf6 0.165 0.642 0.154  -0.02
Hf7 0.835 0.358 0.846  -0.02
Hf8 0.808 0.358 0.154  -0.02
Hf9 0.336 0.359 0.656  0.02
Hf10 0.696 0.641 0.656  0.02
Hf11 0.304 0.359 0.344  0.02
Hf12 0.664 0.641 0.344  0.02
Zr1 0.500 0.000 0.500  0.01
Zr2 0.136 0.729 0.500  -0.02
Zr3 0.864 0.271 0.500  -0.02
Zr4 0.637 0.727 0.000  -0.10
Zr5 0.363 0.273 0.000  -0.10

* symmetry: No. 12
* total DFT energy (no corrections): -9.69 eV per atom


8.
PmEuN after structural relaxation. Source: Alexandria via LeMat-Bulk, functional PBE.

a = 3.646 Å, b = 3.646 Å, c = 6.442 Å
α = 90.00°, β = 90.00°, γ = 120.00°
Site moments in Bohr magnetons follow the coordinates.
Element x y z (fractional)
Eu1 0.000 0.000 0.107  6.89
N1 0.667 0.333 0.353  -0.08
Pm1 0.333 0.667 0.540  0.16

* symmetry: No. 156
* raw formation energy: -78.5 kJ per mole of atoms